WAuNO2 | PBE with a Hubbard U | relaxed

```
data_WAuNO2
_chemical_formula_sum 'W1 Au1 N1 O2'
_cell_length_a 3.9138
_cell_length_b 3.9138
_cell_length_c 4.1151
_cell_angle_alpha 90.00
_cell_angle_beta 90.00
_cell_angle_gamma 90.00
_space_group_name_H-M_alt 'P 4/m m m'
_space_group_IT_number 123
_space_group_name_Hall '-P 4 2'
loop_
_atom_site_label
_atom_site_fract_x
_atom_site_fract_y
_atom_site_fract_z
W1 0.0000 0.0000 0.0000
Au1 0.5000 0.5000 0.5000
N1 0.0000 0.0000 0.5000
O1 0.0000 0.5000 0.0000
```

Calculated values
V	12.61	Å³/atom
electronic total energy	-6.13	eV per atom
Fermi-level density of states	0.24	states/eV per atom